Run A
The following is a DFT calculation (PBE) of a geometry-optimized Ta7Co8 structure.

a b c (Å): 9.3252 9.3252 4.9255
angles (deg): 90.00 90.00 90.00
Element x y z (fractional)
Ta  0.0000  0.0000  0.0000
Ta  0.0687  0.2893  0.0000
Ta  0.1106  0.1106  0.5000
Ta  0.2107  0.5687  0.5000
Ta  0.2893  0.0687  0.0000
Ta  0.3894  0.6106  0.0000
Ta  0.4313  0.7893  0.5000
Ta  0.5000  0.5000  0.5000
Ta  0.5687  0.2107  0.5000
Ta  0.6106  0.3894  0.0000
Ta  0.7107  0.9313  0.0000
Ta  0.7893  0.4313  0.5000
Ta  0.8894  0.8894  0.5000
Ta  0.9313  0.7107  0.0000
Co  0.0470  0.3664  0.5000
Co  0.1336  0.5470  0.0000
Co  0.1790  0.8210  0.2465
Co  0.1790  0.8210  0.7535
Co  0.3210  0.3210  0.2535
Co  0.3210  0.3210  0.7465
Co  0.3664  0.0470  0.5000
Co  0.4530  0.8664  0.0000
Co  0.5470  0.1336  0.0000
Co  0.6336  0.9530  0.5000
Co  0.6790  0.6790  0.2535
Co  0.6790  0.6790  0.7465
Co  0.8210  0.1790  0.2465
Co  0.8210  0.1790  0.7535
Co  0.8664  0.4530  0.0000
Co  0.9530  0.6336  0.5000



Run B
The following is a DFT calculation (PBE) of a geometry-optimized Ta7Co8 structure.

a b c (Å): 9.0956 9.0956 5.1553
angles (deg): 90.00 90.00 90.00
Element x y z (fractional)
Ta  0.0000  0.0000  0.0000
Ta  0.1070  0.1070  0.5000
Ta  0.1950  0.8050  0.2537
Ta  0.1950  0.8050  0.7463
Ta  0.3050  0.3050  0.2463
Ta  0.3050  0.3050  0.7537
Ta  0.3930  0.6070  0.0000
Ta  0.5000  0.5000  0.5000
Ta  0.6070  0.3930  0.0000
Ta  0.6950  0.6950  0.2463
Ta  0.6950  0.6950  0.7537
Ta  0.8050  0.1950  0.2537
Ta  0.8050  0.1950  0.7463
Ta  0.8930  0.8930  0.5000
Co  0.0313  0.3690  0.5000
Co  0.0543  0.2671  0.0000
Co  0.1310  0.5313  0.0000
Co  0.2329  0.5543  0.5000
Co  0.2671  0.0543  0.0000
Co  0.3690  0.0313  0.5000
Co  0.4457  0.7671  0.5000
Co  0.4687  0.8690  0.0000
Co  0.5313  0.1310  0.0000
Co  0.5543  0.2329  0.5000
Co  0.6310  0.9687  0.5000
Co  0.7329  0.9457  0.0000
Co  0.7671  0.4457  0.5000
Co  0.8690  0.4687  0.0000
Co  0.9457  0.7329  0.0000
Co  0.9687  0.6310  0.5000



Stability summary: most stable run A, least stable run B.



Run A
The following is a DFT calculation (PBE) of a geometry-optimized TaTlCoTc structure.

a b c (Å): 4.5521 4.5521 4.5521
angles (deg): 60.00 60.00 60.00
Element x y z (fractional)
Ta  0.0000  0.0000  0.0000
Tl  0.2500  0.2500  0.2500
Co  0.5000  0.5000  0.5000
Tc  0.7500  0.7500  0.7500



Run B
The following is a DFT calculation (PBE) of a geometry-optimized TaTlCoTc structure.

a b c (Å): 4.4943 4.4943 4.4943
angles (deg): 60.00 60.00 60.00
Element x y z (fractional)
Ta  0.0000  0.0000  0.0000
Tl  0.5000  0.5000  0.5000
Co  0.7500  0.7500  0.7500
Tc  0.2500  0.2500  0.2500



Stability summary: most stable run B, least stable run A.



Run A
The following is a DFT calculation (PBE) of a geometry-optimized UTaCo structure.

a b c (Å): 4.3461 4.3461 4.3461
angles (deg): 60.00 60.00 60.00
Element x y z (fractional)
U  0.0000  0.0000  0.0000
Ta  0.2500  0.2500  0.2500
Co  0.7500  0.7500  0.7500



Run B
The following is a DFT calculation (PBE) of a geometry-optimized UTaCo structure.

a b c (Å): 4.3316 4.3316 4.3316
angles (deg): 60.00 60.00 60.00
Element x y z (fractional)
U  0.0000  0.0000  0.0000
Ta  0.5000  0.5000  0.5000
Co  0.7500  0.7500  0.7500



Stability summary: most stable run B, least stable run A.



Run A
The following is a DFT calculation (PBE) of a geometry-optimized ZrTaCo structure.

a b c (Å): 4.2919 4.2919 4.2919
angles (deg): 60.00 60.00 60.00
Element x y z (fractional)
Zr  0.0000  0.0000  0.0000
Ta  0.5000  0.5000  0.5000
Co  0.7500  0.7500  0.7500



Run B
The following is a DFT calculation (PBE) of a geometry-optimized ZrTaCo structure.

a b c (Å): 5.1169 5.1169 5.1169
angles (deg): 119.01 104.63 105.22
Element x y z (fractional)
Zr  0.1621  0.2500  0.4121
Zr  0.8379  0.7500  0.5879
Ta  0.5051  0.9220  0.0831
Ta  0.8389  0.4220  0.9169
Co  0.3428  0.3428  0.0000
Co  0.3428  0.8428  0.5000



Stability summary: most stable run B, least stable run A.



Run A
The following is a DFT calculation (PBE) of a geometry-optimized Co2Te structure.

a b c (Å): 4.0403 4.0403 4.0403
angles (deg): 60.00 60.00 60.00
Element x y z (fractional)
Co  0.2500  0.2500  0.2500
Co  0.7500  0.7500  0.7500
Te  0.0000  0.0000  0.0000



Run B
The following is a DFT calculation (PBE) of a geometry-optimized Co2Te structure.

a b c (Å): 6.1600 3.7870 7.3594
angles (deg): 90.00 90.00 90.00
Element x y z (fractional)
Co  0.0430  0.2500  0.1718
Co  0.1377  0.2500  0.5638
Co  0.3623  0.7500  0.0638
Co  0.4570  0.7500  0.6718
Co  0.5430  0.2500  0.3282
Co  0.6377  0.2500  0.9362
Co  0.8623  0.7500  0.4362
Co  0.9570  0.7500  0.8282
Te  0.2438  0.2500  0.8756
Te  0.2562  0.7500  0.3756
Te  0.7438  0.2500  0.6244
Te  0.7562  0.7500  0.1244



Run C
The following is a DFT calculation (PBE) of a geometry-optimized Co2Te structure.

a b c (Å): 5.0437 5.0437 5.0437
angles (deg): 60.00 60.00 60.00
Element x y z (fractional)
Co  0.0000  0.0000  0.0000
Co  0.0000  0.0000  0.5000
Co  0.0000  0.5000  0.0000
Co  0.5000  0.0000  0.0000
Te  0.3750  0.3750  0.3750
Te  0.6250  0.6250  0.6250



Stability summary: most stable run A, least stable run C.



Run A
The following is a DFT calculation (PBE) of a geometry-optimized TmTlCoTe3 structure.

a b c (Å): 8.9852 4.1250 11.0390
angles (deg): 90.00 112.23 90.00
Element x y z (fractional)
Tm  0.1870  0.2500  0.1490
Tm  0.8130  0.7500  0.8510
Tl  0.2323  0.7500  0.6972
Tl  0.7677  0.2500  0.3028
Co  0.4253  0.7500  0.4062
Co  0.5747  0.2500  0.5938
Te  0.0640  0.2500  0.8555
Te  0.2839  0.2500  0.4481
Te  0.4425  0.7500  0.1787
Te  0.5575  0.2500  0.8213
Te  0.7161  0.7500  0.5519
Te  0.9360  0.7500  0.1445



Run B
The following is a DFT calculation (PBE) of a geometry-optimized TmTlCoTe3 structure.

a b c (Å): 12.6535 4.2024 12.5461
angles (deg): 90.00 90.00 90.00
Element x y z (fractional)
Tm  0.0354  0.2500  0.1881
Tm  0.4646  0.7500  0.6881
Tm  0.5354  0.2500  0.3119
Tm  0.9646  0.7500  0.8119
Tl  0.1956  0.2500  0.5011
Tl  0.3044  0.7500  0.0011
Tl  0.6956  0.2500  0.9989
Tl  0.8044  0.7500  0.4989
Co  0.2291  0.7500  0.3240
Co  0.2709  0.2500  0.8240
Co  0.7291  0.7500  0.1760
Co  0.7709  0.2500  0.6760
Te  0.0330  0.7500  0.3584
Te  0.0993  0.2500  0.9344
Te  0.2219  0.7500  0.7261
Te  0.2781  0.2500  0.2261
Te  0.4007  0.7500  0.4344
Te  0.4670  0.2500  0.8584
Te  0.5330  0.7500  0.1416
Te  0.5993  0.2500  0.5656
Te  0.7219  0.7500  0.7739
Te  0.7781  0.2500  0.2739
Te  0.9007  0.7500  0.0656
Te  0.9670  0.2500  0.6416



Stability summary: most stable run A, least stable run B.